Record 1
# Pr3Sm3Sc | Alexandria via LeMat-Bulk | GGA-PBE | optimized geometry
# * ΔE_f: 4.5 kJ/mol of atoms
# * distance to the lowest polymorph of the same formula: 0 kJ/mol of formula units
data_Pr3Sm3Sc
_chemical_formula_sum 'Pr6 Sm6 Sc2'
_symmetry_space_group_name_H-M 'P 1'
_symmetry_Int_Tables_number 1
_cell_length_a 5.812
_cell_length_b 9.678
_cell_length_c 9.678
_cell_angle_alpha 120.00
_cell_angle_beta 90.00
_cell_angle_gamma 90.00
loop_
_symmetry_equiv_pos_as_xyz
'x,y,z'
loop_
_atom_site_label
_atom_site_fract_x
_atom_site_fract_y
_atom_site_fract_z
_atom_site_occupancy
Pr1 0.750 0.192 0.246 1
Pr2 0.750 0.054 0.808 1
Pr3 0.250 0.246 0.054 1
Pr4 0.750 0.754 0.946 1
Pr5 0.250 0.946 0.192 1
Pr6 0.250 0.808 0.754 1
Sm1 0.750 0.483 0.097 1
Sm2 0.750 0.615 0.517 1
Sm3 0.250 0.097 0.615 1
Sm4 0.750 0.903 0.385 1
Sm5 0.250 0.385 0.483 1
Sm6 0.250 0.517 0.903 1
Sc1 0.250 0.667 0.333 1
Sc2 0.750 0.333 0.667 1


Record 2
# Co2P2N | Alexandria via LeMat-Bulk | GGA-PBE | optimized geometry
# * distance to the lowest polymorph of the same formula: 92 kJ/mol of formula units
data_Co2P2N
_chemical_formula_sum 'Co2 P2 N1'
_symmetry_space_group_name_H-M 'P 1'
_symmetry_Int_Tables_number 1
_cell_length_a 2.736
_cell_length_b 3.485
_cell_length_c 6.751
_cell_angle_alpha 95.50
_cell_angle_beta 90.01
_cell_angle_gamma 113.10
loop_
_symmetry_equiv_pos_as_xyz
'x,y,z'
loop_
_atom_site_label
_atom_site_fract_x
_atom_site_fract_y
_atom_site_fract_z
_atom_site_occupancy
Co1 0.767 0.863 0.845 1
Co2 0.442 0.209 0.341 1
P1 0.083 0.495 0.024 1
P2 0.452 0.234 0.661 1
N1 0.132 0.590 0.279 1


Record 3
# CaMnTc2 | Alexandria via LeMat-Bulk | GGA-PBE | optimized geometry
# * ΔE_f: 69.4 kJ/mol of atoms
# * distance to the lowest polymorph of the same formula: 152 kJ/mol of formula units
data_CaMnTc2
_chemical_formula_sum 'Ca2 Mn2 Tc4'
_symmetry_space_group_name_H-M 'P 1'
_symmetry_Int_Tables_number 1
_cell_length_a 7.202
_cell_length_b 7.202
_cell_length_c 5.788
_cell_angle_alpha 51.52
_cell_angle_beta 51.52
_cell_angle_gamma 90.00
loop_
_symmetry_equiv_pos_as_xyz
'x,y,z'
loop_
_atom_site_label
_atom_site_fract_x
_atom_site_fract_y
_atom_site_fract_z
_atom_site_occupancy
Ca1 0.500 0.500 0.000 1
Ca2 0.250 0.750 0.500 1
Mn1 0.000 0.000 0.000 1
Mn2 0.750 0.250 0.500 1
Tc1 0.697 0.125 0.250 1
Tc2 0.053 0.625 0.250 1
Tc3 0.375 0.303 0.750 1
Tc4 0.875 0.947 0.750 1


Record 4
# NaNdMgCl6 | Alexandria via LeMat-Bulk | GGA-PBE | optimized geometry
# * electronic total energy: -4.10 eV/atom
data_NaNdMgCl6
_chemical_formula_sum 'Na2 Nd2 Mg2 Cl12'
_symmetry_space_group_name_H-M 'P 1'
_symmetry_Int_Tables_number 1
_cell_length_a 6.824
_cell_length_b 6.824
_cell_length_c 12.440
_cell_angle_alpha 90.00
_cell_angle_beta 90.00
_cell_angle_gamma 120.00
loop_
_symmetry_equiv_pos_as_xyz
'x,y,z'
loop_
_atom_site_label
_atom_site_fract_x
_atom_site_fract_y
_atom_site_fract_z
_atom_site_occupancy
Na1 0.000 0.000 0.000 1
Na2 0.000 0.000 0.500 1
Nd1 0.333 0.667 0.250 1
Nd2 0.667 0.333 0.750 1
Mg1 0.667 0.333 0.250 1
Mg2 0.333 0.667 0.750 1
Cl1 0.657 0.633 0.133 1
Cl2 0.975 0.343 0.133 1
Cl3 0.343 0.975 0.633 1
Cl4 0.025 0.657 0.867 1
Cl5 0.367 0.343 0.367 1
Cl6 0.975 0.633 0.367 1
Cl7 0.633 0.975 0.867 1
Cl8 0.657 0.025 0.367 1
Cl9 0.025 0.367 0.633 1
Cl10 0.367 0.025 0.133 1
Cl11 0.633 0.657 0.633 1
Cl12 0.343 0.367 0.867 1


Repeat the third record exactly.
# CaMnTc2 | Alexandria via LeMat-Bulk | GGA-PBE | optimized geometry
# * ΔE_f: 69.4 kJ/mol of atoms
# * distance to the lowest polymorph of the same formula: 152 kJ/mol of formula units
data_CaMnTc2
_chemical_formula_sum 'Ca2 Mn2 Tc4'
_symmetry_space_group_name_H-M 'P 1'
_symmetry_Int_Tables_number 1
_cell_length_a 7.202
_cell_length_b 7.202
_cell_length_c 5.788
_cell_angle_alpha 51.52
_cell_angle_beta 51.52
_cell_angle_gamma 90.00
loop_
_symmetry_equiv_pos_as_xyz
'x,y,z'
loop_
_atom_site_label
_atom_site_fract_x
_atom_site_fract_y
_atom_site_fract_z
_atom_site_occupancy
Ca1 0.500 0.500 0.000 1
Ca2 0.250 0.750 0.500 1
Mn1 0.000 0.000 0.000 1
Mn2 0.750 0.250 0.500 1
Tc1 0.697 0.125 0.250 1
Tc2 0.053 0.625 0.250 1
Tc3 0.375 0.303 0.750 1
Tc4 0.875 0.947 0.750 1


- Which formula does entry 3 have?
  CaMnTc2